Record 1
Density functional theory data (PBE) for crystalline TlHg2Au at its relaxed geometry.

## Properties
Relative energy among the computed polymorphs = 102.2 meV/atom
ΔH_f (0 K) = 0.079 eV/atom

Lattice parameters (Å, degrees): 10.5451 10.5451 10.5451 17.90 17.90 17.90
Last column: nearest neighbours and their distance in Å.
Element x y z (fractional)
Hg 0.0077 0.0077 0.0077  3 Au 3.02, 6 Hg 3.28
Hg 0.4923 0.4923 0.4923  3 Au 3.02, 6 Hg 3.28
Au 0.7500 0.7500 0.7500  6 Hg 3.02, 6 Au 3.28
Tl 0.2500 0.2500 0.2500  6 Tl 3.28, 6 Hg 3.41

---

Record 2
Density functional theory data (PBE) for crystalline TbDy2Y9 at its relaxed geometry.

## Properties
ΔH_f (0 K) = 0.024 eV/atom

Lattice parameters (Å, degrees): 5.0435 5.0435 15.1333 90.00 90.00 90.00
Last column: nearest neighbours and their distance in Å.
Element x y z (fractional)
Y 0.5000 0.5000 0.0000  4 Tb 3.57, 8 Y 3.57
Y 0.5000 0.0000 0.5000  8 Y 3.56-3.57, 4 Dy 3.57
Y 0.5000 0.0000 0.1669  2 Dy 3.56, 8 Y 3.57, 2 Tb 3.57
Y 0.0000 0.5000 0.5000  8 Y 3.56-3.57, 4 Dy 3.57
Y 0.5000 0.0000 0.8331  2 Dy 3.56, 8 Y 3.57, 2 Tb 3.57
Y 0.0000 0.5000 0.1669  2 Dy 3.56, 8 Y 3.57, 2 Tb 3.57
Y 0.5000 0.5000 0.3336  8 Y 3.56-3.57, 4 Dy 3.57
Y 0.5000 0.5000 0.6664  8 Y 3.56-3.57, 4 Dy 3.57
Y 0.0000 0.5000 0.8331  2 Dy 3.56, 8 Y 3.57, 2 Tb 3.57
Dy 0.0000 0.0000 0.6666  12 Y 3.56-3.57
Dy 0.0000 0.0000 0.3334  12 Y 3.56-3.57
Tb 0.0000 0.0000 0.0000  12 Y 3.57

---

Record 3
Density functional theory data (PBE) for crystalline MnMo2P at its relaxed geometry.

## Properties
ΔH_f (0 K) = -0.154 eV/atom

Lattice parameters (Å, degrees): 5.0389 5.0389 4.1929 65.46 65.46 33.80
Last column: nearest neighbours and their distance in Å.
Element x y z (fractional)
Mo 0.0132 0.0132 0.9868  4 P 2.57, 2 Mn 2.71, 4 Mo 2.81-2.87
Mo 0.2295 0.2295 0.2705  4 Mn 2.59, 2 P 2.61, 4 Mo 2.81-2.87
Mn 0.7763 0.7763 0.7241  2 P 2.30
P 0.4811 0.4811 0.5186  2 Mn 2.30, 4 Mo 2.57

---

Record 4
Density functional theory data (PBE) for crystalline CaBMo3 at its relaxed geometry.

## Properties
Relative energy among the computed polymorphs = 2916.4 meV/atom
ΔH_f (0 K) = 3.436 eV/atom

Lattice parameters (Å, degrees): 4.5517 4.5517 4.5517 90.00 90.00 90.00
Last column: nearest neighbours and their distance in Å.
Element x y z (fractional)
Ca 0.0000 0.0000 0.0000  6 Mo 2.28
Mo 0.5000 0.0000 0.0000  2 Ca 2.28
Mo 0.0000 0.5000 0.0000  2 Ca 2.28
Mo 0.0000 0.0000 0.5000  2 Ca 2.28
B 0.5000 0.5000 0.5000  12 Mo 3.22

---

Record 5
Density functional theory data (PBE) for crystalline Li3Ta12O31 at its relaxed geometry.

## Properties
Formation energy without anion corrections = -2.743 eV per atom

Lattice parameters (Å, degrees): 3.9103 9.0719 17.0547 89.95 90.00 90.00
Last column: nearest neighbours and their distance in Å.
Element x y z (fractional)
Ta 0.0000 0.1856 0.5595  5 O 1.93-2.06
Ta 0.0000 0.3981 0.3695  6 O 1.93-2.10
Ta 0.0000 0.3980 0.1307  6 O 1.93-2.09
Ta 0.0000 0.0422 0.2495  6 O 1.94-2.04
Ta 0.0000 0.8135 0.4408  5 O 1.92-2.08
Ta 0.0000 0.6004 0.8673  4 O 1.88-2.04
Ta 0.0000 0.6022 0.6299  6 O 1.93-2.13
Ta 0.0000 0.6790 0.2491  7 O 1.96-2.15
Ta 0.0000 0.8116 0.0577  6 O 1.95-2.18
Ta 0.0000 0.1844 0.9425  5 O 1.92-2.07
Ta 0.0000 0.3141 0.7492  7 O 1.96-2.16
Ta 0.0000 0.9522 0.7529  6 O 1.92-2.07
O 0.0000 0.9986 0.4999  2 Ta 1.96-1.98
O 0.0000 0.1301 0.6765  3 Ta 2.06-2.08
O 0.0000 0.3321 0.0231  2 Ta 1.92-1.93
O 0.0000 0.5470 0.7513  3 Ta 2.04-2.13
O 0.0000 0.3846 0.6311  3 Ta 1.97-2.18
O 0.0000 0.0020 0.0051  2 Ta 1.95-1.97
O 0.0000 0.6671 0.5223  2 Ta 1.92-1.93
O 0.0000 0.3315 0.4770  2 Ta 1.93
O 0.0000 0.8687 0.1738  3 Ta 2.04-2.15
O 0.0000 0.6628 0.9724  2 Ta 1.88-1.99
O 0.5000 0.6198 0.6343  2 Ta 1.96, 1 Li 2.04
O 0.5000 0.0575 0.2493  2 Ta 1.96, 2 Li 2.14-2.15
O 0.5000 0.3746 0.3657  2 Ta 1.97, 1 Li 2.00
O 0.5000 0.3164 0.7520  2 Ta 1.96
O 0.5000 0.6842 0.2483  2 Ta 1.96
O 0.0000 0.8671 0.3222  3 Ta 2.01-2.11
O 0.0000 0.4506 0.2498  3 Ta 2.07-2.10
O 0.5000 0.3752 0.1343  2 Ta 1.97, 1 Li 1.99
O 0.0000 0.6127 0.1292  3 Ta 1.95-2.18
O 0.5000 0.8265 0.4343  2 Ta 1.96
O 0.0000 0.6131 0.3690  2 Ta 1.95-2.13
O 0.0000 0.1775 0.3377  2 Ta 1.94-2.07, 2 Li 2.02
O 0.0000 0.1781 0.1615  2 Ta 1.94-2.06, 2 Li 2.02
O 0.0000 0.8002 0.8317  2 Ta 1.91-1.92
O 0.5000 0.8117 0.0600  2 Ta 1.96
O 0.0000 0.1272 0.8249  3 Ta 2.01-2.13
O 0.0000 0.8174 0.6618  2 Ta 1.98-2.03, 2 Li 2.01
O 0.5000 0.1719 0.5630  2 Ta 1.96
O 0.0000 0.3859 0.8700  2 Ta 1.95-2.16
O 0.5000 0.9463 0.7439  2 Ta 1.96, 1 Li 2.02
O 0.5000 0.1769 0.9379  2 Ta 1.96
Li 0.5000 0.8445 0.6384  4 O 2.01-2.04
Li 0.5000 0.1559 0.1350  4 O 1.99-2.14
Li 0.5000 0.1541 0.3644  4 O 2.00-2.15

---

Record 6
Density functional theory data (PBE) for crystalline InMoIr3 at its relaxed geometry.

## Properties
Relative energy among the computed polymorphs = 0.0 meV/atom
ΔH_f (0 K) = 1.381 eV/atom

Lattice parameters (Å, degrees): 4.7541 4.7541 4.7541 90.00 90.00 90.00
Last column: nearest neighbours and their distance in Å.
Element x y z (fractional)
Mo 0.0000 0.0000 0.0000  6 Ir 2.38
Ir 0.0000 0.5000 0.0000  2 Mo 2.38
Ir 0.5000 0.0000 0.0000  2 Mo 2.38
Ir 0.0000 0.0000 0.5000  2 Mo 2.38
In 0.5000 0.5000 0.5000  12 Ir 3.36